1.
Below is crystalline NaLiCuAg at its relaxed geometry, with properties calculated at the PBE-GGA level.

Geometry as POSCAR:
```
NaLiCuAg
1.0
0.0000 3.2655 3.2655
3.2655 0.0000 3.2655
3.2655 3.2655 0.0000
Na Li Cu Ag
1 1 1 1
Direct
0.0000 0.0000 0.0000 Na
0.2500 0.2500 0.2500 Li
0.7500 0.7500 0.7500 Cu
0.5000 0.5000 0.5000 Ag
```

Output
total energy = -9.92 eV for the cell shown
total moment = 0.00 μB/f.u.
formation energy from the elements = 0.07 eV per atom

=====

2.
Below is crystalline NaDy2PaSe4 at its relaxed geometry, with properties calculated at the PBE-GGA level.

Geometry as POSCAR:
```
NaDy2PaSe4
1.0
7.0708 0.0000 0.0000
0.0000 4.0368 0.0000
-2.3010 0.0000 6.8181
Na Dy Pa Se
1 2 1 4
Direct
0.0000 0.0000 0.0000 Na
0.5000 0.0000 0.5000 Dy
0.5000 0.5000 0.0000 Dy
0.0000 0.5000 0.5000 Pa
0.2518 0.0000 0.7537 Se
0.2536 0.5000 0.2524 Se
0.7464 0.5000 0.7476 Se
0.7482 0.0000 0.2463 Se
```

Output
total energy = -46.31 eV for the cell shown
total moment = 1.28 μB/f.u.
formation energy (no corrections) = -1.5438 eV per atom

=====

3.
Below is crystalline TlNiPt3 at its relaxed geometry, with properties calculated at the PBE-GGA level.

Geometry as POSCAR:
```
TlNiPt3
1.0
5.0319 0.0000 0.0000
0.0000 5.0319 0.0000
0.0000 0.0000 5.0319
Tl Ni Pt
1 1 3
Direct
0.0000 0.0000 0.0000 Tl
0.5000 0.5000 0.5000 Ni
0.0000 0.0000 0.5000 Pt
0.0000 0.5000 0.0000 Pt
0.5000 0.0000 0.0000 Pt
```

Output
total energy = -17.68 eV for the cell shown
ΔE to the lowest computed polymorph = 5.03 eV/f.u.
total moment = 1.05 μB/f.u.
formation energy from the elements = 1.72 eV per atom

=====

4.
Below is crystalline Mn2VSbW at its relaxed geometry, with properties calculated at the PBE-GGA level.

Geometry as POSCAR:
```
Mn2VSbW
1.0
4.7208 0.0000 0.0000
0.0000 4.7208 0.0000
0.0000 0.0000 4.5846
Mn V Sb W
2 1 1 1
Direct
0.0000 0.5000 0.0000 Mn
0.5000 0.0000 0.0000 Mn
0.0000 0.0000 0.5000 V
0.5000 0.5000 0.5000 Sb
0.0000 0.0000 0.0000 W
```

Output
total energy = -38.45 eV for the cell shown
total moment = 5.50 μB/f.u.
formation energy (no corrections) = 1.2165 eV per atom

=====

5.
Below is crystalline Ba2VZnSe at its relaxed geometry, with properties calculated at the PBE-GGA level.

Geometry as POSCAR:
```
Ba2VZnSe
1.0
6.0507 0.0000 0.0000
0.0000 6.0507 0.0000
0.0000 0.0000 4.8763
Ba V Zn Se
2 1 1 1
Direct
0.0000 0.5000 0.0000 Ba
0.5000 0.0000 0.0000 Ba
0.0000 0.0000 0.0000 V
0.0000 0.0000 0.5000 Zn
0.5000 0.5000 0.5000 Se
```

Output
total energy = -17.37 eV for the cell shown
total moment = 4.57 μB/f.u.
formation energy (no corrections) = 0.0699 eV per atom

=====

6.
Below is crystalline Mg2GaCuHg at its relaxed geometry, with properties calculated at the PBE-GGA level.

Geometry as POSCAR:
```
Mg2GaCuHg
1.0
4.9975 0.0000 0.0000
0.0000 4.9975 0.0000
0.0000 0.0000 4.5301
Mg Ga Cu Hg
2 1 1 1
Direct
0.0000 0.5000 0.0000 Mg
0.5000 0.0000 0.0000 Mg
0.0000 0.0000 0.5000 Ga
0.0000 0.0000 0.0000 Cu
0.5000 0.5000 0.5000 Hg
```

Output
total energy = -10.55 eV for the cell shown
total moment = 0.00 μB/f.u.
formation energy from the elements = 0.01 eV per atom